Here is a geometry-optimized GeAuF structure from the Alexandria database. Energies are from PBE-GGA.

Calculated values
E_form (uncorrected)	-0.86	eV/atom
electronic total energy	-0.151	Ha/atom
space-group type	No. 2
polymorph energy (0 for the lowest one)	17.5	meV/atom

Structure (extended XYZ):
```
6
Lattice="3.1213 0.0000 0.0000 1.3219 4.4918 0.0000 1.4520 1.7489 8.7229" Properties=species:S:1:pos:R:3 pbc="T T T"
Ge 0.8630 1.0227 2.5275
Ge 5.0323 5.2180 6.1954
Au 2.1533 2.7290 5.5968
Au 3.7420 3.5117 3.1261
F 0.8807 1.0519 0.7663
F 5.0146 5.1888 7.9566
```


Here is a geometry-optimized GeAuF3 structure from the Alexandria database. Energies are from PBE-GGA.

Calculated values
E_form (uncorrected)	-1.18	eV/atom
electronic total energy	-0.143	Ha/atom
space-group type	No. 221
polymorph energy (0 for the lowest one)	0.0	meV/atom

Structure (extended XYZ):
```
5
Lattice="4.2985 0.0000 0.0000 0.0000 4.2985 0.0000 0.0000 0.0000 4.2985" Properties=species:S:1:pos:R:3 pbc="T T T"
Ge 0.0000 0.0000 0.0000
Au 2.1493 2.1493 2.1493
F 0.0000 0.0000 2.1493
F 0.0000 2.1493 0.0000
F 2.1493 0.0000 0.0000
```


Here is a geometry-optimized GeAuF structure from the Alexandria database. Energies are from PBE-GGA.

Calculated values
E_form (uncorrected)	-0.88	eV/atom
electronic total energy	-0.152	Ha/atom
space-group type	No. 107
polymorph energy (0 for the lowest one)	0.0	meV/atom

Structure (extended XYZ):
```
3
Lattice="-1.8327 1.8327 5.1615 1.8327 -1.8327 5.1615 1.8327 1.8327 -5.1615" Properties=species:S:1:pos:R:3 pbc="T T T"
Ge 0.0000 0.0000 0.0000
Au 0.0000 0.0000 5.6122
F 0.0000 0.0000 8.5191
```


Here is a geometry-optimized HfGe2AuF structure from the Alexandria database. Energies are from PBE-GGA.

Calculated values
E_form (uncorrected)	-0.22	eV/atom
electronic total energy	-0.187	Ha/atom
space-group type	No. 123

Structure (extended XYZ):
```
5
Lattice="4.7374 0.0000 0.0000 0.0000 4.7374 0.0000 0.0000 0.0000 4.1625" Properties=species:S:1:pos:R:3 pbc="T T T"
Hf 0.0000 0.0000 0.0000
Ge 0.0000 2.3687 2.0812
Ge 2.3687 0.0000 2.0812
Au 2.3687 2.3687 0.0000
F 0.0000 0.0000 2.0812
```


Here is a geometry-optimized KGe2AuF structure from the Alexandria database. Energies are from PBE-GGA.

Calculated values
E_form (uncorrected)	1.19	eV/atom
electronic total energy	-0.070	Ha/atom
space-group type	No. 123

Structure (extended XYZ):
```
5
Lattice="5.8938 0.0000 0.0000 0.0000 5.8938 0.0000 0.0000 0.0000 5.5633" Properties=species:S:1:pos:R:3 pbc="T T T"
K 0.0000 0.0000 0.0000
Ge 0.0000 2.9469 0.0000
Ge 2.9469 0.0000 0.0000
Au 0.0000 0.0000 2.7816
F 2.9469 2.9469 2.7816
```


Here is a geometry-optimized LiGeAu2F structure from the Alexandria database. Energies are from PBE-GGA.

Calculated values
E_form (uncorrected)	0.16	eV/atom
electronic total energy	-0.104	Ha/atom
space-group type	No. 123

Structure (extended XYZ):
```
5
Lattice="4.4127 0.0000 0.0000 0.0000 4.4127 0.0000 0.0000 0.0000 4.8199" Properties=species:S:1:pos:R:3 pbc="T T T"
Li 0.0000 0.0000 0.0000
Ge 0.0000 0.0000 2.4099
Au 0.0000 2.2063 0.0000
Au 2.2063 0.0000 0.0000
F 2.2063 2.2063 2.4099
```


Here is a geometry-optimized GeAuNF2 structure from the Alexandria database. Energies are from PBE-GGA.

Calculated values
E_form (uncorrected)	-0.29	eV/atom
electronic total energy	-0.158	Ha/atom
space-group type	No. 123
polymorph energy (0 for the lowest one)	0.0	meV/atom

Structure (extended XYZ):
```
5
Lattice="4.1594 0.0000 0.0000 0.0000 4.1594 0.0000 0.0000 0.0000 3.6079" Properties=species:S:1:pos:R:3 pbc="T T T"
Ge 0.0000 0.0000 0.0000
Au 2.0797 2.0797 1.8040
N 0.0000 0.0000 1.8040
F 0.0000 2.0797 0.0000
F 2.0797 0.0000 0.0000
```


Here is a geometry-optimized GeAuNF2 structure from the Alexandria database. Energies are from PBE-GGA.

Calculated values
E_form (uncorrected)	0.22	eV/atom
electronic total energy	-0.138	Ha/atom
space-group type	No. 123
polymorph energy (0 for the lowest one)	519.7	meV/atom

Structure (extended XYZ):
```
5
Lattice="4.6571 0.0000 0.0000 0.0000 4.6571 0.0000 0.0000 0.0000 3.7901" Properties=species:S:1:pos:R:3 pbc="T T T"
Ge 0.0000 0.0000 0.0000
Au 2.3286 2.3286 1.8951
N 2.3286 2.3286 0.0000
F 0.0000 2.3286 1.8951
F 2.3286 0.0000 1.8951
```


Here is a geometry-optimized GeAuOF2 structure from the Alexandria database. Energies are from PBE-GGA.

Calculated values
E_form (uncorrected)	-0.34	eV/atom
electronic total energy	-0.135	Ha/atom
space-group type	No. 123
polymorph energy (0 for the lowest one)	603.4	meV/atom

Structure (extended XYZ):
```
5
Lattice="4.4255 0.0000 0.0000 0.0000 4.4255 0.0000 0.0000 0.0000 4.1175" Properties=species:S:1:pos:R:3 pbc="T T T"
Ge 0.0000 0.0000 0.0000
Au 2.2127 2.2127 2.0588
O 2.2127 2.2127 0.0000
F 0.0000 2.2127 2.0588
F 2.2127 0.0000 2.0588
```


Here is a geometry-optimized GeAuOF2 structure from the Alexandria database. Energies are from PBE-GGA.

Calculated values
E_form (uncorrected)	-0.95	eV/atom
electronic total energy	-0.157	Ha/atom
space-group type	No. 123
polymorph energy (0 for the lowest one)	0.0	meV/atom

Structure (extended XYZ):
```
5
Lattice="4.2513 0.0000 0.0000 0.0000 4.2513 0.0000 0.0000 0.0000 3.7625" Properties=species:S:1:pos:R:3 pbc="T T T"
Ge 0.0000 0.0000 0.0000
Au 2.1257 2.1257 1.8812
O 0.0000 0.0000 1.8812
F 0.0000 2.1257 0.0000
F 2.1257 0.0000 0.0000
```


Here is a geometry-optimized Ge2PdAuF structure from the Alexandria database. Energies are from PBE-GGA.

Calculated values
E_form (uncorrected)	0.05	eV/atom
electronic total energy	-0.142	Ha/atom
space-group type	No. 123

Structure (extended XYZ):
```
5
Lattice="4.7401 0.0000 0.0000 0.0000 4.7401 0.0000 0.0000 0.0000 5.1363" Properties=species:S:1:pos:R:3 pbc="T T T"
Ge 0.0000 2.3701 0.0000
Ge 2.3701 0.0000 0.0000
Pd 0.0000 0.0000 0.0000
Au 0.0000 0.0000 2.5681
F 2.3701 2.3701 2.5681
```


Here is a geometry-optimized Rb2GeAuF6 structure from the Alexandria database. Energies are from PBE-GGA.

Calculated values
E_form (uncorrected)	-2.16	eV/atom
electronic total energy	-0.157	Ha/atom
space-group type	No. 139

Structure (extended XYZ):
```
10
Lattice="-3.2672 3.2672 4.6320 3.2672 -3.2672 4.6320 3.2672 3.2672 -4.6320" Properties=species:S:1:pos:R:3 pbc="T T T"
Rb 3.2672 0.0000 2.3160
Rb 0.0000 3.2672 2.3160
Ge 0.0000 0.0000 0.0000
Au 0.0000 0.0000 4.6320
F 0.0000 0.0000 1.8480
F 1.3069 1.3069 0.0000
F 1.9602 -1.9602 4.6320
F -1.9602 1.9602 4.6320
F 1.9602 1.9602 4.6320
F 0.0000 0.0000 7.4159
```


Here is a geometry-optimized Ge2TeAuF structure from the Alexandria database. Energies are from PBE-GGA.

Calculated values
E_form (uncorrected)	0.34	eV/atom
electronic total energy	-0.116	Ha/atom
space-group type	No. 123

Structure (extended XYZ):
```
5
Lattice="5.1103 0.0000 0.0000 0.0000 5.1103 0.0000 0.0000 0.0000 5.4190" Properties=species:S:1:pos:R:3 pbc="T T T"
Ge 0.0000 2.5551 0.0000
Ge 2.5551 0.0000 0.0000
Te 0.0000 0.0000 2.7095
Au 0.0000 0.0000 0.0000
F 2.5551 2.5551 2.7095
```


Here is a geometry-optimized Ti2GeAuF structure from the Alexandria database. Energies are from PBE-GGA.

Calculated values
E_form (uncorrected)	0.30	eV/atom
electronic total energy	-0.177	Ha/atom
space-group type	No. 123

Structure (extended XYZ):
```
5
Lattice="4.8666 0.0000 0.0000 0.0000 4.8666 0.0000 0.0000 0.0000 4.7199" Properties=species:S:1:pos:R:3 pbc="T T T"
Ti 0.0000 2.4333 0.0000
Ti 2.4333 0.0000 0.0000
Ge 0.0000 0.0000 0.0000
Au 0.0000 0.0000 2.3599
F 2.4333 2.4333 2.3599
```


Here is a geometry-optimized TlGeAuF2 structure from the Alexandria database. Energies are from PBE-GGA.

Calculated values
E_form (uncorrected)	-1.24	eV/atom
electronic total energy	-0.148	Ha/atom
space-group type	No. 123

Structure (extended XYZ):
```
5
Lattice="4.3253 0.0000 0.0000 0.0000 4.3253 0.0000 0.0000 0.0000 5.0751" Properties=species:S:1:pos:R:3 pbc="T T T"
Tl 0.0000 0.0000 0.0000
Ge 2.1627 2.1627 2.5376
Au 2.1627 2.1627 0.0000
F 0.0000 2.1627 2.5376
F 2.1627 0.0000 2.5376
```


Here is a geometry-optimized TlGeAu2F structure from the Alexandria database. Energies are from PBE-GGA.

Calculated values
E_form (uncorrected)	-0.54	eV/atom
electronic total energy	-0.133	Ha/atom
space-group type	No. 123

Structure (extended XYZ):
```
5
Lattice="5.0821 0.0000 0.0000 0.0000 5.0821 0.0000 0.0000 0.0000 4.2398" Properties=species:S:1:pos:R:3 pbc="T T T"
Tl 0.0000 0.0000 0.0000
Ge 2.5411 2.5411 2.1199
Au 0.0000 2.5411 2.1199
Au 2.5411 0.0000 2.1199
F 2.5411 2.5411 0.0000
```


Here is a geometry-optimized H2AuF8 structure from the Alexandria database. Energies are from PBE-GGA.

Calculated values
electronic total energy	-0.117	Ha/atom
space-group type	No. 12
polymorph energy (0 for the lowest one)	71.6	meV/atom

Structure (extended XYZ):
```
11
Lattice="3.3013 -2.8263 0.0000 3.3013 2.8263 0.0000 -2.7974 0.0000 8.9855" Properties=species:S:1:pos:R:3 pbc="T T T"
H 0.5544 0.0000 1.1160
H 3.2508 0.0000 7.8695
Au -1.3987 0.0000 4.4927
F -0.3574 0.0000 1.3583
F 1.1569 1.4650 3.3594
F -0.1540 0.0000 8.6986
F 2.6484 1.4650 5.6261
F 1.1569 -1.4650 3.3594
F 3.9592 0.0000 0.2869
F 2.6484 -1.4650 5.6261
F 4.1627 0.0000 7.6272
```


Here is a geometry-optimized HAuF3 structure from the Alexandria database. Energies are from PBE-GGA.

Calculated values
electronic total energy	-0.128	Ha/atom
space-group type	No. 12
polymorph energy (0 for the lowest one)	0.0	meV/atom

Structure (extended XYZ):
```
10
Lattice="5.5798 -1.9451 0.0000 5.5798 1.9451 0.0000 -0.3506 0.0000 7.0278" Properties=species:S:1:pos:R:3 pbc="T T T"
H 1.6927 0.0000 0.6176
H 9.1162 0.0000 6.4102
Au 0.5422 0.0000 4.5833
Au 10.2667 0.0000 2.4444
F 1.4836 0.0000 1.6094
F 1.6598 0.0000 6.3229
F 4.2763 0.0000 2.7530
F 6.5326 0.0000 4.2747
F 9.1492 0.0000 0.7049
F 9.3254 0.0000 5.4184
```


Here is a geometry-optimized HAu2F6 structure from the Alexandria database. Energies are from PBE-GGA.

Calculated values
electronic total energy	-0.125	Ha/atom
space-group type	No. 2

Structure (extended XYZ):
```
18
Lattice="5.8500 0.0000 0.0000 -1.4268 5.8712 0.0000 -1.1504 -1.1332 8.3574" Properties=species:S:1:pos:R:3 pbc="T T T"
H -0.0731 1.4329 3.2111
H 3.3458 3.3051 5.1463
Au -0.5319 2.3158 6.7663
Au 0.9779 4.4782 2.7675
Au 2.2948 0.2598 5.5899
Au 3.8046 2.4223 1.5912
F -1.8542 3.7386 6.4685
F -0.5346 3.7421 1.3635
F 0.2458 1.9622 3.9689
F -0.4469 5.1271 4.1860
F 0.8209 0.8559 7.0499
F 0.9155 3.6086 6.6196
F 2.3572 1.1295 1.7378
F 2.4518 3.8821 1.3076
F 3.7196 -0.3890 4.1714
F 3.0270 2.7758 4.3885
F 3.8073 0.9960 6.9939
F 5.1269 0.9995 1.8889
```


Here is a geometry-optimized HAuF3 structure from the Alexandria database. Energies are from PBE-GGA.

Calculated values
electronic total energy	-0.102	Ha/atom
space-group type	No. 221
polymorph energy (0 for the lowest one)	712.9	meV/atom

Structure (extended XYZ):
```
5
Lattice="3.6169 0.0000 0.0000 0.0000 3.6169 0.0000 0.0000 0.0000 3.6169" Properties=species:S:1:pos:R:3 pbc="T T T"
H 0.0000 0.0000 0.0000
Au 1.8084 1.8084 1.8084
F 0.0000 0.0000 1.8084
F 0.0000 1.8084 0.0000
F 1.8084 0.0000 0.0000
```


Here is a geometry-optimized H2AuF structure from the Alexandria database. Energies are from PBE-GGA.

Calculated values
electronic total energy	-0.117	Ha/atom
space-group type	No. 1
polymorph energy (0 for the lowest one)	355.5	meV/atom

Structure (extended XYZ):
```
4
Lattice="2.8363 0.0000 0.0000 0.0171 4.1719 0.0000 0.1148 0.5176 5.7591" Properties=species:S:1:pos:R:3 pbc="T T T"
H 0.0000 0.0000 0.0000
H 0.3422 4.5925 5.0441
Au 1.5944 2.1819 2.5120
F 1.6034 4.2676 2.5141
```


Here is a geometry-optimized H2AuF structure from the Alexandria database. Energies are from PBE-GGA.

Calculated values
electronic total energy	-0.091	Ha/atom
space-group type	No. 225
polymorph energy (0 for the lowest one)	1070.7	meV/atom

Structure (extended XYZ):
```
4
Lattice="0.0000 2.5931 2.5931 2.5931 0.0000 2.5931 2.5931 2.5931 0.0000" Properties=species:S:1:pos:R:3 pbc="T T T"
H 1.2965 1.2965 1.2965
H 3.8896 3.8896 3.8896
Au 0.0000 0.0000 0.0000
F 2.5931 2.5931 2.5931
```


Here is a geometry-optimized H2AuF6 structure from the Alexandria database. Energies are from PBE-GGA.

Calculated values
electronic total energy	-0.128	Ha/atom
space-group type	No. 15
polymorph energy (0 for the lowest one)	0.0	meV/atom

Structure (extended XYZ):
```
18
Lattice="5.6890 -4.5590 0.0000 5.6890 4.5590 0.0000 -1.4488 0.0000 4.9506" Properties=species:S:1:pos:R:3 pbc="T T T"
H 1.6849 0.1195 0.5518
H 0.9605 -0.1195 3.0271
H 8.9688 0.1195 1.9235
H 8.2444 -0.1195 4.3988
Au 5.3268 1.5454 1.2377
Au 4.6025 -1.5454 3.7130
F 0.2683 0.3072 4.5620
F 0.9926 -0.3072 2.0867
F 3.4672 1.5402 1.7046
F 3.3941 1.5076 4.3296
F 5.8108 1.5076 3.0963
F 7.1864 1.5402 0.7707
F 2.7429 -1.5402 4.1799
F 4.1185 -1.5076 1.8543
F 6.5352 -1.5076 0.6210
F 6.4621 -1.5402 3.2460
F 8.9367 0.3072 2.8639
F 9.6610 -0.3072 0.3886
```


Here is a geometry-optimized HAuF4 structure from the Alexandria database. Energies are from PBE-GGA.

Calculated values
electronic total energy	-0.129	Ha/atom
space-group type	No. 2
polymorph energy (0 for the lowest one)	0.0	meV/atom

Structure (extended XYZ):
```
12
Lattice="5.6292 0.0000 0.0000 1.7148 5.8590 0.0000 2.4710 0.9588 5.7198" Properties=species:S:1:pos:R:3 pbc="T T T"
H 1.0356 0.9797 1.1757
H 8.7794 5.8381 4.5441
Au 5.7258 4.4386 4.3259
Au 4.0891 2.3792 1.3939
F 1.8107 0.9733 0.5960
F 4.4475 5.7612 3.6789
F 2.8213 3.7826 0.5956
F 3.6099 2.7719 3.2163
F 6.2050 4.0459 2.5035
F 6.9937 3.0352 5.1242
F 5.3675 1.0566 2.0409
F 8.0043 5.8445 5.1238
```


Here is a geometry-optimized HAuF3 structure from the Alexandria database. Energies are from PBE-GGA.

Calculated values
electronic total energy	-0.101	Ha/atom
space-group type	No. 221
polymorph energy (0 for the lowest one)	736.5	meV/atom

Structure (extended XYZ):
```
5
Lattice="4.2351 0.0000 0.0000 0.0000 4.2351 0.0000 0.0000 0.0000 4.2351" Properties=species:S:1:pos:R:3 pbc="T T T"
H 0.0000 0.0000 0.0000
Au 2.1176 2.1176 2.1176
F 0.0000 2.1176 2.1176
F 2.1176 0.0000 2.1176
F 2.1176 2.1176 0.0000
```


Here is a geometry-optimized H2AuF structure from the Alexandria database. Energies are from PBE-GGA.

Calculated values
electronic total energy	-0.110	Ha/atom
space-group type	No. 122
polymorph energy (0 for the lowest one)	557.3	meV/atom

Structure (extended XYZ):
```
8
Lattice="-2.1347 2.1347 4.3283 2.1347 -2.1347 4.3283 2.1347 2.1347 -4.3283" Properties=species:S:1:pos:R:3 pbc="T T T"
H 3.2020 0.9505 -1.0821
H 0.9505 1.0673 1.0821
H -1.0673 1.1842 3.2462
H 1.1842 1.0673 5.4104
Au 0.0000 0.0000 0.0000
Au 0.0000 2.1347 2.1641
F 2.1347 0.0000 2.1641
F 0.0000 0.0000 4.3283
```